Here is an optimized crystal structure of TmHf2Sn from OQMD. Energies are from GGA-PBE.

The space group is P2_1/m (No. 11) and the conventional cell measures 4.3554, 4.3587 and 10.6484 Å, with angles of 90.00, 101.81 and 90.00 degrees. Symmetry generates all atoms from Tm at (0.1896, 0.2500, 0.3783), Hf at (0.0530, 0.7500, 0.1058), Hf at (0.4489, 0.7500, 0.8978) and Sn at (0.3388, 0.2500, 0.6782).

As for the spin magnetization: 0.095 Bohr magnetons per cell. The calculation puts the total energy at -7.5230 eV per atom.


Here is an optimized crystal structure of GdZnInNi from OQMD. Energies are from GGA-PBE.

The space group is C2/m (No. 12) and the conventional cell measures 9.8101, 4.2174 and 7.4589 Å, with angles of 90.00, 91.32 and 90.00 degrees. Symmetry generates all atoms from Gd at (0.0678, 0.0000, 0.2755), Zn at (0.1454, 0.5000, 0.5535), In at (0.1451, 0.5000, 0.9433) and Ni at (0.2202, 0.0000, 0.7327).

As for the spin magnetization: 0.000 Bohr magnetons per cell. The calculation puts the total energy at -3.9783 eV per atom.


Here is an optimized crystal structure of Tb2CSe from OQMD. Energies are from GGA-PBE.

The space group is R-3m (No. 166, hexagonal axes) and the conventional cell measures 3.7866, 3.7866 and 19.8467 Å, with angles of 90.00, 90.00 and 120.00 degrees. Symmetry generates all atoms from Tb at (0.0000, 0.0000, 0.2345), C at (0.0000, 0.0000, 0.5000) and Se at (0.0000, 0.0000, 0.0000).

As for the spin magnetization: 0.000 Bohr magnetons per cell. The calculation puts the total energy at -6.6383 eV per atom.


Here is an optimized crystal structure of ScNbNi2 from OQMD. Energies are from GGA-PBE.

The space group is F-43m (No. 216) and the conventional cell measures 6.1163, 6.1163 and 6.1163 Å, with angles of 90.00, 90.00 and 90.00 degrees. Symmetry generates all atoms from Sc at (0.0000, 0.0000, 0.0000), Nb at (0.2500, 0.2500, 0.2500), Ni at (0.0000, 0.0000, 0.5000) and Ni at (0.2500, 0.2500, 0.7500).

As for the spin magnetization: 0.002 Bohr magnetons per cell. The calculation puts the total energy at -6.9604 eV per atom. The formation energy is -0.071 eV per atom.


- Look up the spin magnetization of the third one.
  0.000 Bohr magnetons per cell


Copy entry 1 word for word.
Here is an optimized crystal structure of TmHf2Sn from OQMD. Energies are from GGA-PBE.

The space group is P2_1/m (No. 11) and the conventional cell measures 4.3554, 4.3587 and 10.6484 Å, with angles of 90.00, 101.81 and 90.00 degrees. Symmetry generates all atoms from Tm at (0.1896, 0.2500, 0.3783), Hf at (0.0530, 0.7500, 0.1058), Hf at (0.4489, 0.7500, 0.8978) and Sn at (0.3388, 0.2500, 0.6782).

As for the spin magnetization: 0.095 Bohr magnetons per cell. The calculation puts the total energy at -7.5230 eV per atom.


Copy entry 1 word for word.
Here is an optimized crystal structure of TmHf2Sn from OQMD. Energies are from GGA-PBE.

The space group is P2_1/m (No. 11) and the conventional cell measures 4.3554, 4.3587 and 10.6484 Å, with angles of 90.00, 101.81 and 90.00 degrees. Symmetry generates all atoms from Tm at (0.1896, 0.2500, 0.3783), Hf at (0.0530, 0.7500, 0.1058), Hf at (0.4489, 0.7500, 0.8978) and Sn at (0.3388, 0.2500, 0.6782).

As for the spin magnetization: 0.095 Bohr magnetons per cell. The calculation puts the total energy at -7.5230 eV per atom.